Material: Sc3BiB
Method: DFT, PBE
State: optimized geometry

**Calculated total energy**: -5.261 eV/atom
**Space-group type**: I-4m2 (119)

Lattice parameters (Å, degrees): 5.0687 5.0687 11.4312 77.19 77.19 90.00
Sites, in units of the cell vectors:
Sc (0.6416, 0.8768, 0.2465)
Sc (0.1232, 0.8881, 0.7535)
Sc (0.1232, 0.3584, 0.7535)
Sc (0.1119, 0.8768, 0.2465)
Sc (0.3172, 0.3172, 0.3655)
Sc (0.6828, 0.6828, 0.6345)
Bi (0.2500, 0.7500, 0.5000)
Bi (0.0000, 0.0000, 0.0000)
B (0.8594, 0.3594, 0.2813)
B (0.6406, 0.1406, 0.7187)